[1]
# HgSbS2

A relaxed HgSbS2 crystal (PBE, Alexandria via LeMat-Bulk).

Cell lengths 5.7110, 8.6554, 10.3427 Å; angles 90.00, 90.00, 90.00 degrees
Closest atoms and distances in Å follow each position.
Fractional positions:
1 S 0.5610 0.5000 0.6067  2 Sb 2.46-2.51
2 S 0.0770 0.2501 0.7499  2 Sb 2.53
3 S 0.0770 0.7501 0.7501  2 Sb 2.53
4 S 0.0609 0.0000 0.1067  2 Sb 2.46-2.51
5 S 0.5609 0.0000 0.8933  2 Sb 2.46-2.51
6 S 0.5770 0.7499 0.2501  2 Sb 2.53
7 S 0.0610 0.5000 0.3933  2 Sb 2.46-2.51
8 S 0.5770 0.2499 0.2499  2 Sb 2.53
9 Hg 0.1223 0.5000 0.9944  2 Hg 2.86
10 Hg 0.6223 0.0000 0.4944  2 Hg 2.86
11 Hg 0.6223 0.5000 0.0056  2 Hg 2.86
12 Hg 0.1223 0.0000 0.5056  2 Hg 2.86
13 Sb 0.4895 0.0000 0.1330  4 S 2.46-2.53
14 Sb 0.9895 0.5000 0.6330  4 S 2.46-2.53
15 Sb 0.9895 0.0000 0.8670  4 S 2.46-2.53
16 Sb 0.4895 0.5000 0.3670  4 S 2.46-2.53

Summary:
space group = No. 46
density of states at the Fermi level = 4.7 states/eV per cell
energy above the most stable polymorph in this dataset = 77 meV per atom
density = 5.0 g cm⁻³

[2]
# Hg2Sb3S8

A relaxed Hg2Sb3S8 crystal (PBE, Alexandria via LeMat-Bulk).

Cell lengths 6.6860, 7.6792, 7.5040 Å; angles 120.78, 91.71, 90.00 degrees
Closest atoms and distances in Å follow each position.
Fractional positions:
1 S 0.9043 0.6320 0.2639  1 Hg 2.48, 2 Sb 2.66
2 S 0.8058 0.1190 0.2380  3 Sb 2.51-2.81
3 S 0.3391 0.3425 0.2452  1 Hg 2.51, 2 Sb 2.57-2.73
4 S 0.0957 0.3680 0.7361  1 Hg 2.48, 2 Sb 2.66
5 S 0.3391 0.9027 0.2452  1 Hg 2.51, 2 Sb 2.57-2.73
6 S 0.6609 0.6575 0.7548  1 Hg 2.51, 2 Sb 2.57-2.73
7 S 0.1942 0.8810 0.7620  3 Sb 2.51-2.81
8 S 0.6609 0.0973 0.7548  1 Hg 2.51, 2 Sb 2.57-2.73
9 Sb 0.0000 0.2504 0.0000  6 S 2.66-2.81
10 Sb 0.0000 0.7496 0.0000  6 S 2.66-2.81
11 Sb 0.5000 0.0000 0.0000  6 S 2.51-2.57
12 Hg 0.5327 0.6292 0.2583  3 S 2.48-2.51
13 Hg 0.4673 0.3708 0.7417  3 S 2.48-2.51

Summary:
space group = No. 12
density of states at the Fermi level = 4.9 states/eV per cell
calculated total energy = -46.97 eV for the cell shown
density = 5.1 g cm⁻³

[3]
# HgSbS2

A relaxed HgSbS2 crystal (PBE, Alexandria via LeMat-Bulk).

Cell lengths 4.9037, 4.9037, 4.9037 Å; angles 60.00, 60.00, 60.00 degrees
Closest atoms and distances in Å follow each position.
Fractional positions:
1 Hg 0.5000 0.5000 0.5000  8 S 3.00
2 S 0.7500 0.7500 0.7500  4 Hg 3.00, 4 Sb 3.00
3 S 0.2500 0.2500 0.2500  4 Hg 3.00, 4 Sb 3.00
4 Sb 0.0000 0.0000 0.0000  8 S 3.00

Summary:
space group = No. 225
density of states at the Fermi level = 2.0 states/eV per cell
energy above the most stable polymorph in this dataset = 277 meV per atom
density = 7.7 g cm⁻³

[4]
# HgSbS4

A relaxed HgSbS4 crystal (PBE, Alexandria via LeMat-Bulk).

Cell lengths 3.6371, 6.6728, 6.8029 Å; angles 78.14, 90.00, 90.00 degrees
Closest atoms and distances in Å follow each position.
Fractional positions:
1 S 0.0000 0.2084 0.2787  1 Sb 2.57, 2 Hg 2.58
2 S 0.0000 0.7916 0.7213  1 Sb 2.57, 2 Hg 2.58
3 S 0.5000 0.2421 0.8326  2 Sb 2.54
4 S 0.5000 0.7579 0.1674  2 Sb 2.54
5 Hg 0.5000 0.0000 0.5000  4 S 2.58
6 Sb 0.0000 0.0000 0.0000  6 S 2.54-2.57

Summary:
space group = No. 10
density of states at the Fermi level = 3.6 states/eV per cell
energy above the most stable polymorph in this dataset = 148 meV per atom
density = 4.6 g cm⁻³